Record 1
Below is In2PPb after structural relaxation, with properties calculated at the PBE-GGA level.

**E above lowest polymorph**: 290 meV/atom

Geometry as CIF:
```
data_In2PPb
_chemical_formula_sum 'In4 P2 Pb2'
_cell_length_a 6.1857
_cell_length_b 10.5959
_cell_length_c 3.2755
_cell_angle_alpha 90.00
_cell_angle_beta 108.76
_cell_angle_gamma 90.00
_symmetry_space_group_name_H-M 'C 1 2/m 1'
_symmetry_Int_Tables_number 12
loop_
_symmetry_equiv_pos_as_xyz
'x,y,z'
'-x,-y,-z'
'-x,y,-z'
'x,-y,z'
'x+1/2,y+1/2,z'
'-x+1/2,-y+1/2,-z'
'-x+1/2,y+1/2,-z'
'x+1/2,-y+1/2,z'
loop_
_atom_site_label
_atom_site_type_symbol
_atom_site_fract_x
_atom_site_fract_y
_atom_site_fract_z
_atom_site_occupancy
In1 In 0.2500 0.2500 0.0000 1
P1 P 0.0000 0.0000 0.5000 1
Pb1 Pb 0.0000 0.5000 0.5000 1
```

***

Record 2
Below is InP2Pb after structural relaxation, with properties calculated at the PBE-GGA level.

**E above lowest polymorph**: 21 meV/atom

Geometry as CIF:
```
data_InP2Pb
_chemical_formula_sum 'In2 P4 Pb2'
_cell_length_a 6.9184
_cell_length_b 4.0021
_cell_length_c 6.9563
_cell_angle_alpha 90.00
_cell_angle_beta 109.36
_cell_angle_gamma 90.00
_symmetry_space_group_name_H-M 'C 1 2/m 1'
_symmetry_Int_Tables_number 12
loop_
_symmetry_equiv_pos_as_xyz
'x,y,z'
'-x,-y,-z'
'-x,y,-z'
'x,-y,z'
'x+1/2,y+1/2,z'
'-x+1/2,-y+1/2,-z'
'-x+1/2,y+1/2,-z'
'x+1/2,-y+1/2,z'
loop_
_atom_site_label
_atom_site_type_symbol
_atom_site_fract_x
_atom_site_fract_y
_atom_site_fract_z
_atom_site_occupancy
In1 In 0.0000 0.0000 0.0000 1
P1 P 0.2435 0.5000 0.2303 1
Pb1 Pb 0.0000 0.5000 0.5000 1
```

***

Record 3
Below is InPPb after structural relaxation, with properties calculated at the PBE-GGA level.

**E above lowest polymorph**: 158 meV/atom

Geometry as CIF:
```
data_InPPb
_chemical_formula_sum 'In4 P4 Pb4'
_cell_length_a 7.0037
_cell_length_b 7.0037
_cell_length_c 7.0037
_cell_angle_alpha 90.00
_cell_angle_beta 90.00
_cell_angle_gamma 90.00
_symmetry_space_group_name_H-M 'F -4 3 m'
_symmetry_Int_Tables_number 216
_symmetry_space_group_name_Hall 'F -4 2 3'
loop_
_atom_site_label
_atom_site_type_symbol
_atom_site_fract_x
_atom_site_fract_y
_atom_site_fract_z
_atom_site_occupancy
In1 In 0.0000 0.0000 0.0000 1
P1 P 0.2500 0.2500 0.7500 1
Pb1 Pb 0.0000 0.0000 0.5000 1
```

***

Record 4
Below is InPPb2 after structural relaxation, with properties calculated at the PBE-GGA level.

**E above lowest polymorph**: 189 meV/atom

Geometry as CIF:
```
data_InPPb2
_chemical_formula_sum 'In2 P2 Pb4'
_cell_length_a 4.4906
_cell_length_b 4.4906
_cell_length_c 10.6069
_cell_angle_alpha 90.00
_cell_angle_beta 90.00
_cell_angle_gamma 90.00
_symmetry_space_group_name_H-M 'I -4 m 2'
_symmetry_Int_Tables_number 119
_symmetry_space_group_name_Hall 'I -4 -2'
loop_
_atom_site_label
_atom_site_type_symbol
_atom_site_fract_x
_atom_site_fract_y
_atom_site_fract_z
_atom_site_occupancy
In1 In 0.0000 0.0000 0.0000 1
P1 P 0.0000 0.5000 0.7500 1
Pb1 Pb 0.0000 0.0000 0.5000 1
Pb2 Pb 0.0000 0.5000 0.2500 1
```

***

Record 5
Below is InP2Pb2 after structural relaxation, with properties calculated at the PBE-GGA level.

**E above lowest polymorph**: 0 meV/atom

Geometry as CIF:
```
data_InP2Pb2
_chemical_formula_sum 'In2 P4 Pb4'
_cell_length_a 3.4153
_cell_length_b 3.4153
_cell_length_c 21.0703
_cell_angle_alpha 90.00
_cell_angle_beta 90.00
_cell_angle_gamma 90.00
_symmetry_space_group_name_H-M 'I 4/m m m'
_symmetry_Int_Tables_number 139
_symmetry_space_group_name_Hall '-I 4 2'
loop_
_atom_site_label
_atom_site_type_symbol
_atom_site_fract_x
_atom_site_fract_y
_atom_site_fract_z
_atom_site_occupancy
In1 In 0.0000 0.0000 0.0000 1
P1 P 0.0000 0.5000 0.2500 1
Pb1 Pb 0.0000 0.0000 0.3820 1
```

***

Record 6
Below is InP2Pb after structural relaxation, with properties calculated at the PBE-GGA level.

**E above lowest polymorph**: 302 meV/atom

Geometry as CIF:
```
data_InP2Pb
_chemical_formula_sum 'In2 P4 Pb2'
_cell_length_a 4.0750
_cell_length_b 5.9396
_cell_length_c 7.7728
_cell_angle_alpha 90.00
_cell_angle_beta 90.00
_cell_angle_gamma 90.00
_symmetry_space_group_name_H-M 'I m m m'
_symmetry_Int_Tables_number 71
_symmetry_space_group_name_Hall '-I 2 2'
loop_
_atom_site_label
_atom_site_type_symbol
_atom_site_fract_x
_atom_site_fract_y
_atom_site_fract_z
_atom_site_occupancy
In1 In 0.0000 0.0000 0.0000 1
P1 P 0.0000 0.5000 0.2828 1
Pb1 Pb 0.0000 0.0000 0.5000 1
```

***

Record 7
Below is InP2Pb after structural relaxation, with properties calculated at the PBE-GGA level.

**E above lowest polymorph**: 330 meV/atom

Geometry as CIF:
```
data_InP2Pb
_chemical_formula_sum 'In4 P8 Pb4'
_cell_length_a 7.0389
_cell_length_b 7.0389
_cell_length_c 7.0389
_cell_angle_alpha 90.00
_cell_angle_beta 90.00
_cell_angle_gamma 90.00
_symmetry_space_group_name_H-M 'F m -3 m'
_symmetry_Int_Tables_number 225
_symmetry_space_group_name_Hall '-F 4 2 3'
loop_
_atom_site_label
_atom_site_type_symbol
_atom_site_fract_x
_atom_site_fract_y
_atom_site_fract_z
_atom_site_occupancy
In1 In 0.0000 0.0000 0.0000 1
P1 P 0.2500 0.2500 0.2500 1
Pb1 Pb 0.0000 0.0000 0.5000 1
```

***

Record 8
Below is In2PPb after structural relaxation, with properties calculated at the PBE-GGA level.

**E above lowest polymorph**: 0 meV/atom

Geometry as CIF:
```
data_In2PPb
_chemical_formula_sum 'In6 P3 Pb3'
_cell_length_a 3.9135
_cell_length_b 3.9135
_cell_length_c 23.8940
_cell_angle_alpha 90.00
_cell_angle_beta 90.00
_cell_angle_gamma 120.00
_symmetry_space_group_name_H-M 'R -3 m'
_symmetry_Int_Tables_number 166
_symmetry_space_group_name_Hall '-R 3 2"'
loop_
_atom_site_label
_atom_site_type_symbol
_atom_site_fract_x
_atom_site_fract_y
_atom_site_fract_z
_atom_site_occupancy
In1 In 0.0000 0.0000 0.2313 1
P1 P 0.0000 0.0000 0.5000 1
Pb1 Pb 0.0000 0.0000 0.0000 1
```

***

| no. | ΔE_f (eV/atom) |
| --- | --- |
| 1 | 0.293 |
| 2 | 0.098 |
| 3 | 0.175 |
| 4 | 0.234 |
| 5 | 0.181 |
| 6 | 0.379 |
| 7 | 0.407 |
| 8 | 0.004 |